! Na3TlPb3, relaxed, DFT PBE; values from VASP
! DFT total energy = -2.58 eV/atom
! Space-group type = C2/m, No. 12
! Energy of formation = -0.59 eV/f.u.
! ρ = 7.0 g cm⁻³
! Excess energy over the best structure of this formula in the dataset = 0.0168 eV/atom
&SYSTEM
  ibrav = 0, nat = 14, ntyp = 3
/
ATOMIC_SPECIES
Na 22.99 Na.upf
Pb 207.20 Pb.upf
Tl 204.38 Tl.upf
ATOMIC_POSITIONS angstrom
Na 2.1978 -9.2733 6.9890
Na -1.2272 -2.7446 4.3561
Na -0.2880 -10.1449 4.7972
Na -0.8257 -5.1140 1.0860
Na -0.6895 -7.7755 8.0673
Na -3.7130 -3.6162 2.1643
Pb -2.7491 -3.0593 -0.9575
Pb -3.2014 -0.3902 2.7263
Pb 0.7385 -6.7718 4.9973
Pb -2.2536 -6.1177 4.1560
Pb -1.0643 -4.6347 7.0748
Pb -0.4509 -8.2549 2.0785
Tl -0.2999 -1.9636 1.3859
Tl -1.2153 -10.9259 7.7674
CELL_PARAMETERS angstrom
-3.4499 1.0764 4.7503
-2.5006 -4.5259 -2.9816
4.4354 -9.4401 7.3845